No. 1
Tb3Gd3Cd2 after structural relaxation, computed with PBE-GGA.

CIF file:
```
data_Tb3Gd3Cd2
_chemical_formula_sum 'Tb3 Gd3 Cd2'
_symmetry_space_group_name_H-M 'P 1 m 1'
_symmetry_Int_Tables_number 6
_symmetry_space_group_name_Hall 'P -2y'
_cell_length_a 6.948
_cell_length_b 5.484
_cell_length_c 6.950
_cell_angle_alpha 90.00
_cell_angle_beta 119.98
_cell_angle_gamma 90.00
loop_
_atom_site_label
_atom_site_fract_x
_atom_site_fract_y
_atom_site_fract_z
Tb1 0.000 0.000 0.000
Tb2 0.172 0.500 0.828
Tb3 0.656 0.500 0.312
Gd1 0.000 0.000 0.484
Gd2 0.483 0.000 0.484
Gd3 0.656 0.500 0.828
Cd1 0.161 0.500 0.322
Cd2 0.494 0.000 0.990
```

Results
The calculation puts the formation energy at -105 meV/atom. The value obtained for the uncorrected energy is -30.483 eV for the cell shown.

---

No. 2
TbGd5Cd2 after structural relaxation, computed with PBE-GGA.

CIF file:
```
data_TbGd5Cd2
_chemical_formula_sum 'Tb2 Gd10 Cd4'
_symmetry_space_group_name_H-M 'A m m 2'
_symmetry_Int_Tables_number 38
_symmetry_space_group_name_Hall 'A 2 -2'
_cell_length_a 5.491
_cell_length_b 6.959
_cell_length_c 12.057
_cell_angle_alpha 90.00
_cell_angle_beta 90.00
_cell_angle_gamma 90.00
loop_
_atom_site_label
_atom_site_fract_x
_atom_site_fract_y
_atom_site_fract_z
Tb1 0.000 0.000 0.000
Gd1 0.000 0.241 0.242
Gd2 0.500 0.000 0.656
Gd3 0.500 0.241 0.414
Cd1 0.000 0.000 0.495
Cd2 0.500 0.000 0.161
```

Results
The calculation puts the formation energy at -105 meV/atom. The value obtained for the uncorrected energy is -61.065 eV for the cell shown.

---

No. 3
TbGdCd2 after structural relaxation, computed with PBE-GGA.

CIF file:
```
data_TbGdCd2
_chemical_formula_sum 'Tb4 Gd4 Cd8'
_symmetry_space_group_name_H-M 'F m -3 m'
_symmetry_Int_Tables_number 225
_symmetry_space_group_name_Hall '-F 4 2 3'
_cell_length_a 7.509
_cell_length_b 7.509
_cell_length_c 7.509
_cell_angle_alpha 90.00
_cell_angle_beta 90.00
_cell_angle_gamma 90.00
loop_
_atom_site_label
_atom_site_fract_x
_atom_site_fract_y
_atom_site_fract_z
Tb1 0.000 0.000 0.000
Gd1 0.000 0.000 0.500
Cd1 0.250 0.250 0.250
```

Results
The calculation puts the formation energy at -329 meV/atom. The value obtained for the uncorrected energy is -49.562 eV for the cell shown.

---

- formation energy of number 3 (TbGdCd2)?
  -329 meV/atom

---

- uncorrected energy of number 1 (Tb3Gd3Cd2)?
  -30.483 eV for the cell shown

---

Repeat the third record exactly.
TbGdCd2 after structural relaxation, computed with PBE-GGA.

CIF file:
```
data_TbGdCd2
_chemical_formula_sum 'Tb4 Gd4 Cd8'
_symmetry_space_group_name_H-M 'F m -3 m'
_symmetry_Int_Tables_number 225
_symmetry_space_group_name_Hall '-F 4 2 3'
_cell_length_a 7.509
_cell_length_b 7.509
_cell_length_c 7.509
_cell_angle_alpha 90.00
_cell_angle_beta 90.00
_cell_angle_gamma 90.00
loop_
_atom_site_label
_atom_site_fract_x
_atom_site_fract_y
_atom_site_fract_z
Tb1 0.000 0.000 0.000
Gd1 0.000 0.000 0.500
Cd1 0.250 0.250 0.250
```

Results
The calculation puts the formation energy at -329 meV/atom. The value obtained for the uncorrected energy is -49.562 eV for the cell shown.